# 1
# HoHfTh2, relaxed, DFT PBE
# Formation enthalpy at 0 K in eV per atom: 0.377
# Raw total energy in eV per formula unit: -27.86
# Offset from the most stable computed form in kcal/mol of atoms: 6.21
# D(E_F) in states/eV/f.u.: 6.529
data_HoHfTh2
_cell_length_a 3.3646
_cell_length_b 3.3646
_cell_length_c 36.4620
_cell_angle_alpha 90.00
_cell_angle_beta 90.00
_cell_angle_gamma 120.00
_symmetry_space_group_name_H-M 'R -3 m'
_symmetry_Int_Tables_number 166
_symmetry_space_group_name_Hall '-R 3 2"'
loop_
_atom_site_label
_atom_site_fract_x
_atom_site_fract_y
_atom_site_fract_z
Ho1 0.0000 0.0000 0.0000
Hf1 0.0000 0.0000 0.5000
Th1 0.0000 0.0000 0.4165

=====

# 2
# HoHfTi, relaxed, DFT PBE
# Formation enthalpy at 0 K in eV per atom: 0.222
# Raw total energy in eV per formula unit: -21.76
# Offset from the most stable computed form in kcal/mol of atoms: 2.08
# D(E_F) in states/eV/f.u.: 5.154
data_HoHfTi
_cell_length_a 3.1924
_cell_length_b 3.1924
_cell_length_c 7.8205
_cell_angle_alpha 90.00
_cell_angle_beta 90.00
_cell_angle_gamma 120.00
_symmetry_space_group_name_H-M 'P 3 m 1'
_symmetry_Int_Tables_number 156
loop_
_symmetry_equiv_pos_as_xyz
'x,y,z'
'-y,x-y,z'
'-x+y,-x,z'
'-y,-x,z'
'-x+y,y,z'
'x,x-y,z'
loop_
_atom_site_label
_atom_site_fract_x
_atom_site_fract_y
_atom_site_fract_z
Ho1 0.0000 0.0000 0.0000
Hf1 0.3333 0.6667 0.6338
Ti1 0.6667 0.3333 0.3389

=====

# 3
# HoHfTi, relaxed, DFT PBE
# Formation enthalpy at 0 K in eV per atom: 0.132
# Raw total energy in eV per formula unit: -22.03
# Offset from the most stable computed form in kcal/mol of atoms: 0.00
# D(E_F) in states/eV/f.u.: 2.461
data_HoHfTi
_cell_length_a 3.192
_cell_length_b 5.040
_cell_length_c 8.769
_cell_angle_alpha 90.00
_cell_angle_beta 100.46
_cell_angle_gamma 90.00
_symmetry_space_group_name_H-M 'P 1 21/m 1'
_symmetry_Int_Tables_number 11
loop_
_symmetry_equiv_pos_as_xyz
'x,y,z'
'-x,-y,-z'
'-x,y+1/2,-z'
'x,-y+1/2,z'
loop_
_atom_site_label
_atom_site_fract_x
_atom_site_fract_y
_atom_site_fract_z
Ho1 0.062 0.250 0.123
Hf1 0.368 0.250 0.738
Ti1 0.274 0.750 0.547

=====

# 4
# HoHfTi2, relaxed, DFT PBE
# Formation enthalpy at 0 K in eV per atom: 0.149
# Raw total energy in eV per formula unit: -29.72
# D(E_F) in states/eV/f.u.: 5.538
data_HoHfTi2
_cell_length_a 3.597
_cell_length_b 3.597
_cell_length_c 6.726
_cell_angle_alpha 90.00
_cell_angle_beta 90.00
_cell_angle_gamma 90.00
_symmetry_space_group_name_H-M 'P 4/m m m'
_symmetry_Int_Tables_number 123
_symmetry_space_group_name_Hall '-P 4 2'
loop_
_atom_site_label
_atom_site_fract_x
_atom_site_fract_y
_atom_site_fract_z
Ho1 0.000 0.000 0.000
Hf1 0.000 0.000 0.500
Ti1 0.500 0.500 0.295

=====

What is the D(E_F) in the second record?
5.154 states/eV/f.u.